[1]
DFT (PBE-GGA) results for a geometry-optimized YPb2Br structure.

The structure in extended XYZ format:
```
4
Lattice="5.465 0.003 0.011 -2.542 6.082 -0.007 0.382 1.163 3.575" Properties=species:S:1:pos:R:3 pbc="T T T"
Br 1.462 3.043 0.002
Y -1.080 3.622 1.784
Pb 2.923 0.583 1.793
Pb 0.000 0.000 0.000
```

Properties
As for the mass density: 8.15 g/cm3. As for the density of states at the Fermi level: 0.667 states/eV/atom. The value obtained for the raw formation energy is -0.34 eV per atom. Its space-group type is C2/m (12). The value obtained for the energy is -4.23 eV per atom. The value obtained for the volume is 29.71 A^3/atom.



[2]
DFT (PBE-GGA) results for a geometry-optimized YPbBr3 structure.

The structure in extended XYZ format:
```
5
Lattice="5.873 0.000 0.000 0.000 5.873 0.000 0.000 0.000 5.873" Properties=species:S:1:pos:R:3 pbc="T T T"
Y 2.936 2.936 2.936
Pb 0.000 0.000 0.000
Br 2.936 0.000 0.000
Br 0.000 2.936 0.000
Br 0.000 0.000 2.936
```

Properties
As for the mass density: 4.39 g/cm3. As for the density of states at the Fermi level: 1.177 states/eV/atom. The value obtained for the raw formation energy is -0.28 eV per atom. Its space-group type is Pm-3m (221). The value obtained for the energy is -3.31 eV per atom. The value obtained for the volume is 40.51 A^3/atom.